(1)
# MgCuTc2 (GGA-PBE, relaxed)
data_MgCuTc2
_chemical_formula_sum 'Mg2 Cu2 Tc4'
_cell_length_a 3.654
_cell_length_b 3.654
_cell_length_c 8.789
_cell_angle_alpha 90.00
_cell_angle_beta 90.00
_cell_angle_gamma 90.00
_symmetry_space_group_name_H-M 'I 4/m m m'
_symmetry_Int_Tables_number 139
_symmetry_space_group_name_Hall '-I 4 2'
loop_
_atom_site_label
_atom_site_type_symbol
_atom_site_fract_x
_atom_site_fract_y
_atom_site_fract_z
Mg1 Mg 0.000 0.000 0.000
Cu1 Cu 0.000 0.000 0.500
Tc1 Tc 0.000 0.500 0.250
# E_tot = -6.3604 eV per atom
# density of states at the Fermi level = 0.9565 states/eV per atom
# energy relative to the elements = 0.245 eV/atom



(2)
# ZrHg3Ir (GGA-PBE, relaxed)
data_ZrHg3Ir
_chemical_formula_sum 'Zr1 Hg3 Ir1'
_cell_length_a 5.111
_cell_length_b 5.111
_cell_length_c 5.111
_cell_angle_alpha 90.00
_cell_angle_beta 90.00
_cell_angle_gamma 90.00
_symmetry_space_group_name_H-M 'P m -3 m'
_symmetry_Int_Tables_number 221
_symmetry_space_group_name_Hall '-P 4 2 3'
loop_
_atom_site_label
_atom_site_type_symbol
_atom_site_fract_x
_atom_site_fract_y
_atom_site_fract_z
Zr1 Zr 0.000 0.000 0.000
Hg1 Hg 0.000 0.500 0.500
Ir1 Ir 0.500 0.500 0.500
# E_tot = -2.8480 eV per atom
# density of states at the Fermi level = 1.6555 states/eV per atom
# energy relative to the elements = 0.815 eV/atom



(3)
# BeNbPt3 (GGA-PBE, relaxed)
data_BeNbPt3
_chemical_formula_sum 'Be1 Nb1 Pt3'
_cell_length_a 4.868
_cell_length_b 4.868
_cell_length_c 4.868
_cell_angle_alpha 90.00
_cell_angle_beta 90.00
_cell_angle_gamma 90.00
_symmetry_space_group_name_H-M 'P m -3 m'
_symmetry_Int_Tables_number 221
_symmetry_space_group_name_Hall '-P 4 2 3'
loop_
_atom_site_label
_atom_site_type_symbol
_atom_site_fract_x
_atom_site_fract_y
_atom_site_fract_z
Be1 Be 0.000 0.000 0.000
Nb1 Nb 0.500 0.500 0.500
Pt1 Pt 0.000 0.500 0.500
# E_tot = -5.0740 eV per atom
# density of states at the Fermi level = 0.8401 states/eV per atom
# energy relative to the elements = 1.310 eV/atom
# distance to the lowest polymorph of the same formula = 1391 meV/atom



(4)
# MgTaH (GGA-PBE, relaxed)
data_MgTaH
_chemical_formula_sum 'Mg2 Ta2 H2'
_cell_length_a 4.6225
_cell_length_b 4.6225
_cell_length_c 5.3329
_cell_angle_alpha 90.00
_cell_angle_beta 90.00
_cell_angle_gamma 120.00
_symmetry_space_group_name_H-M 'P 63/m m c'
_symmetry_Int_Tables_number 194
_symmetry_space_group_name_Hall '-P 6c 2c'
loop_
_atom_site_label
_atom_site_type_symbol
_atom_site_fract_x
_atom_site_fract_y
_atom_site_fract_z
Mg1 Mg 0.3333 0.6667 0.2500
Ta1 Ta 0.3333 0.6667 0.7500
H1 H 0.0000 0.0000 0.0000
# E_tot = -3.8857 eV per atom
# density of states at the Fermi level = 0.5012 states/eV per atom
# distance to the lowest polymorph of the same formula = 1771 meV/atom



(5)
# LaSm3Ho5 (GGA-PBE, relaxed)
data_LaSm3Ho5
_chemical_formula_sum 'La4 Sm12 Ho20'
_cell_length_a 15.309
_cell_length_b 11.387
_cell_length_c 9.932
_cell_angle_alpha 90.00
_cell_angle_beta 130.16
_cell_angle_gamma 90.00
_symmetry_space_group_name_H-M 'C 1 2/m 1'
_symmetry_Int_Tables_number 12
loop_
_symmetry_equiv_pos_as_xyz
'x,y,z'
'-x,-y,-z'
'-x,y,-z'
'x,-y,z'
'x+1/2,y+1/2,z'
'-x+1/2,-y+1/2,-z'
'-x+1/2,y+1/2,-z'
'x+1/2,-y+1/2,z'
loop_
_atom_site_label
_atom_site_type_symbol
_atom_site_fract_x
_atom_site_fract_y
_atom_site_fract_z
La1 La 0.246 0.000 0.410
Sm1 Sm 0.000 0.000 0.000
Sm2 Sm 0.000 0.500 0.500
Sm3 Sm 0.007 0.500 0.811
Sm4 Sm 0.021 0.000 0.361
Ho1 Ho 0.000 0.259 0.000
Ho2 Ho 0.147 0.249 0.751
Ho3 Ho 0.220 0.500 0.222
Ho4 Ho 0.226 0.000 0.044
# E_tot = -4.1675 eV per atom
# density of states at the Fermi level = 1.4044 states/eV per atom
# energy relative to the elements = 0.496 eV/atom
# distance to the lowest polymorph of the same formula = 181 meV/atom



(6)
# CaMgGaRh (GGA-PBE, relaxed)
data_CaMgGaRh
_chemical_formula_sum 'Ca4 Mg4 Ga4 Rh4'
_cell_length_a 6.653
_cell_length_b 6.653
_cell_length_c 6.653
_cell_angle_alpha 90.00
_cell_angle_beta 90.00
_cell_angle_gamma 90.00
_symmetry_space_group_name_H-M 'F -4 3 m'
_symmetry_Int_Tables_number 216
_symmetry_space_group_name_Hall 'F -4 2 3'
loop_
_atom_site_label
_atom_site_type_symbol
_atom_site_fract_x
_atom_site_fract_y
_atom_site_fract_z
Ca1 Ca 0.000 0.000 0.000
Mg1 Mg 0.250 0.250 0.250
Ga1 Ga 0.250 0.250 0.750
Rh1 Rh 0.000 0.000 0.500
# E_tot = -3.8297 eV per atom
# density of states at the Fermi level = 0.6629 states/eV per atom
# energy relative to the elements = -0.336 eV/atom